DFT (GGA-PBE) results for a relaxed structure of HfMgPd3.

Its density of states at the Fermi level is 2.3 states/eV per cell. Its total energy is -6.125 eV per atom.

Lattice parameters (Å, degrees): 3.9124 4.9212 5.1360 84.66 67.61 66.59
With the nearest neighbours (Å) after each atom.
Space group P1 (No. 1)
Symmetry-distinct sites (fractional):
Hf 0.0000 0.0000 0.0000 (multiplicity 1)  8 Pd 2.71-2.86, 1 Mg 2.95
Mg 0.5700 0.2794 0.5801 (multiplicity 1)  8 Pd 2.67-2.87, 1 Hf 2.95
Pd 0.2006 0.4180 0.1781 (multiplicity 1)  3 Hf 2.80-2.82, 6 Pd 2.82-3.01, 3 Mg 2.83-2.87
Pd 0.3664 0.8582 0.4076 (multiplicity 1)  3 Mg 2.79-2.81, 6 Pd 2.82-3.03, 3 Hf 2.84-2.86
Pd 0.7887 0.6295 0.7927 (multiplicity 1)  2 Mg 2.67, 2 Hf 2.71, 4 Pd 2.88-2.92